The following is a DFT calculation (PBE) of crystalline Zr3Al3Co2Au at its relaxed geometry.

The size of the total moment comes out at 0.01 μB per cell. The total energy comes out at -6.596 eV/atom. Its crystal system is hexagonal.

The space group is P-62m (No. 189) and the conventional cell measures 7.0723, 7.0723 and 3.5038 Å, with angles of 90.00, 90.00 and 120.00 degrees. The asymmetric unit holds Zr at (0.0000, 0.5891, 0.0000), Al at (0.0000, 0.2723, 0.5000), Co at (0.3333, 0.6667, 0.5000) and Au at (0.0000, 0.0000, 0.0000).

***

The following is a DFT calculation (PBE) of crystalline Cu7Ag at its relaxed geometry.

Its energy above the most stable polymorph in this dataset is 7 meV per atom. For the calculated formation energy, the calculation gives 0.05 eV/atom. The total energy comes out at -3.556 eV/atom. Its crystal system is monoclinic.

The space group is C2/m (No. 12) and the conventional cell measures 8.5931, 2.6455 and 9.0199 Å, with angles of 90.00, 100.66 and 90.00 degrees. The asymmetric unit holds Cu at (0.0000, 0.0000, 0.0000), Cu at (0.0043, 0.5000, 0.7635), Cu at (0.2423, 0.0000, 0.3615), Cu at (0.2479, 0.5000, 0.1206) and Ag at (0.0000, 0.0000, 0.5000).

***

The following is a DFT calculation (PBE) of crystalline ZrBeFeSn at its relaxed geometry.

The size of the total moment comes out at 0.00 μB per cell. Its energy above the most stable polymorph in this dataset is 0 meV per atom. The total energy comes out at -6.255 eV/atom. Its crystal system is cubic.

The space group is F-43m (No. 216) and the conventional cell measures 6.2225, 6.2225 and 6.2225 Å, with angles of 90.00, 90.00 and 90.00 degrees. The asymmetric unit holds Zr at (0.0000, 0.0000, 0.0000), Be at (0.2500, 0.2500, 0.2500), Fe at (0.2500, 0.2500, 0.7500) and Sn at (0.0000, 0.0000, 0.5000).

***

The following is a DFT calculation (PBE) of crystalline Cu3SbSeS3 at its relaxed geometry.

The total energy comes out at -4.110 eV/atom. Its crystal system is monoclinic.

The space group is Cm (No. 8) and the conventional cell measures 7.7539, 7.7579 and 6.6956 Å, with angles of 90.00, 125.26 and 90.00 degrees. The asymmetric unit holds Cu at (0.0000, 0.0000, 0.0000), Cu at (0.0223, 0.2388, 0.5219), Sb at (0.0218, 0.5000, 0.0052), Se at (0.3843, 0.0000, 0.2789), S at (0.3826, 0.2645, 0.7450) and S at (0.4147, 0.5000, 0.2762).

***

The following is a DFT calculation (PBE) of crystalline Ba2ZnCdTe2O2 at its relaxed geometry.

The total energy comes out at -4.352 eV/atom. Its crystal system is trigonal.

The space group is P3m1 (No. 156) and the conventional cell measures 4.4064, 4.4064 and 13.0275 Å, with angles of 90.00, 90.00 and 120.00 degrees. The asymmetric unit holds Ba at (0.0000, 0.0000, 0.0000), Ba at (0.3333, 0.6667, 0.4858), Zn at (0.6667, 0.3333, 0.2879), Cd at (0.6667, 0.3333, 0.7851), Te at (0.0000, 0.0000, 0.6920), Te at (0.3333, 0.6667, 0.2093), O at (0.6667, 0.3333, 0.4355) and O at (0.6667, 0.3333, 0.9507).

***

The following is a DFT calculation (PBE) of crystalline Zr3Bi at its relaxed geometry.

The size of the total moment comes out at 0.00 μB per cell. The total energy comes out at -7.601 eV/atom. Its crystal system is orthorhombic.

The space group is Pmmn (No. 59, origin choice 2) and the conventional cell measures 5.2560, 6.1940 and 5.6978 Å, with angles of 90.00, 90.00 and 90.00 degrees. The asymmetric unit holds Zr at (0.2500, 0.0010, 0.1459), Zr at (0.2500, 0.7500, 0.6532) and Bi at (0.2500, 0.2500, 0.6545).